Record 1
CsSr2BeSi after structural relaxation, computed with PBE.

a = 5.9110 Å, b = 5.9110 Å, c = 5.8751 Å
α = 90.00°, β = 90.00°, γ = 90.00°
Last column: nearest neighbours and their distance in Å.
Space group P4/mmm (No. 123)
Symmetry-distinct sites (fractional):
Cs1 0.0000 0.0000 0.0000 x1  2 Be 2.94
Sr1 0.0000 0.5000 0.5000 x2  2 Be 2.96
Be1 0.0000 0.0000 0.5000 x1  2 Cs 2.94, 4 Sr 2.96
Si1 0.5000 0.5000 0.0000 x1  8 Sr 4.17, 4 Cs 4.18

## Properties
Calculated volume (Å³ per atom): 41.1
Calculated total energy (eV/atom): -1.91
Magnetic moment (μB/atom): 0.281



Record 2
ZrReSe3 after structural relaxation, computed with PBE.

a = 5.2075 Å, b = 5.2075 Å, c = 5.2075 Å
α = 90.00°, β = 90.00°, γ = 90.00°
Last column: nearest neighbours and their distance in Å.
Space group Pm-3m (No. 221)
Symmetry-distinct sites (fractional):
Zr1 0.0000 0.0000 0.0000 x1  6 Se 2.60
Re1 0.5000 0.5000 0.5000 x1  12 Se 3.68
Se1 0.0000 0.0000 0.5000 x3  2 Zr 2.60

## Properties
Calculated volume (Å³ per atom): 28.2
Calculated total energy (eV/atom): -5.62
Magnetic moment (μB/atom): 1.012



Record 3
Zr2PaPd after structural relaxation, computed with PBE.

a = 6.9795 Å, b = 6.9795 Å, c = 6.9795 Å
α = 90.00°, β = 90.00°, γ = 90.00°
Last column: nearest neighbours and their distance in Å.
Space group F-43m (No. 216)
Symmetry-distinct sites (fractional):
Zr1 0.0000 0.0000 0.0000 x4  4 Pd 3.02, 4 Zr 3.02
Zr2 0.2500 0.2500 0.2500 x4  4 Zr 3.02, 4 Pa 3.02
Pa1 0.0000 0.0000 0.5000 x4  4 Zr 3.02, 4 Pd 3.02
Pd1 0.2500 0.2500 0.7500 x4  4 Pa 3.02, 4 Zr 3.02

## Properties
Formation energy (eV/atom): -0.162
Calculated volume (Å³ per atom): 21.2
Calculated total energy (eV/atom): -8.11
Magnetic moment (μB/atom): 0.000